Density functional theory data (GGA-PBE) for a relaxed structure of AcPr8Ho2.

**E_form**: 0.132 eV per atom
**Relative energy among the computed polymorphs**: 1.71 kJ/mol of atoms
**E**: -4.549 eV per atom
**Density of states at the Fermi level**: 1.51 states/eV per atom

abc: 9.3776 17.0521 6.1242
angles: 90.00 124.95 90.00
Space group C2/m (No. 12)
One atom of each set of equivalent atoms:
Ac (0.0000, 0.0000, 0.0000)
Pr (0.0000, 0.2084, 0.0000)
Pr (0.0686, 0.5000, 0.7934)
Pr (0.2193, 0.1223, 0.6880)
Ho (0.0000, 0.3115, 0.5000)

---

Density functional theory data (GGA-PBE) for a relaxed structure of RbTcBr4.

**E**: -3.779 eV per atom
**E_form (uncorrected)**: -0.775 eV per atom
**Density of states at the Fermi level**: 0.45 states/eV per atom

abc: 22.9462 7.1778 5.2756
angles: 90.00 100.78 90.00
Space group C2/m (No. 12)
One atom of each set of equivalent atoms:
Rb (0.1998, 0.0000, 0.1853)
Tc (0.0343, 0.5000, 0.6725)
Br (0.0000, 0.2751, 0.0000)
Br (0.1020, 0.2555, 0.5957)
Br (0.2095, 0.5000, 0.2407)

---

Density functional theory data (GGA-PBE) for a relaxed structure of ScTl2In.

**E_form**: -0.149 eV per atom
**E**: -3.599 eV per atom
**Density of states at the Fermi level**: 0.48 states/eV per atom

abc: 4.6611 4.6611 4.5705
angles: 90.00 90.00 90.00
Space group P4/mmm (No. 123)
One atom of each set of equivalent atoms:
Sc (0.0000, 0.0000, 0.0000)
Tl (0.0000, 0.5000, 0.5000)
In (0.5000, 0.5000, 0.0000)

---

Density functional theory data (GGA-PBE) for a relaxed structure of ZrOs2Rh.

**E_form**: 0.211 eV per atom
**Relative energy among the computed polymorphs**: 40.76 kJ/mol of atoms
**E**: -9.379 eV per atom
**Density of states at the Fermi level**: 1.24 states/eV per atom

abc: 2.7731 2.7731 28.5331
angles: 90.00 90.00 120.00
Space group R-3m (No. 166, hexagonal axes)
One atom of each set of equivalent atoms:
Zr (0.0000, 0.0000, 0.0000)
Os (0.0000, 0.0000, 0.2439)
Rh (0.0000, 0.0000, 0.5000)

---

Density functional theory data (GGA-PBE) for a relaxed structure of AcSiGePt2.

**E**: -6.190 eV per atom
**E_form (uncorrected)**: -0.944 eV per atom
**Density of states at the Fermi level**: 0.47 states/eV per atom

abc: 4.4503 4.4503 10.2927
angles: 90.00 90.00 90.00
Space group I-4m2 (No. 119)
One atom of each set of equivalent atoms:
Ac (0.0000, 0.0000, 0.0000)
Si (0.0000, 0.5000, 0.2500)
Ge (0.0000, 0.5000, 0.7500)
Pt (0.0000, 0.0000, 0.3623)

---

Density functional theory data (GGA-PBE) for a relaxed structure of V2InCoH.

**E**: -6.262 eV per atom
**Density of states at the Fermi level**: 0.83 states/eV per atom

abc: 3.8080 3.8080 4.1022
angles: 90.00 90.00 90.00
Space group P4/mmm (No. 123)
One atom of each set of equivalent atoms:
V (0.0000, 0.5000, 0.0000)
In (0.0000, 0.0000, 0.5000)
Co (0.5000, 0.5000, 0.5000)
H (0.5000, 0.5000, 0.0000)